Below is TcNiHgGe after structural relaxation, with properties calculated at the PBE-GGA level.

## Properties
calculated total energy: -4.88 eV/atom
total magnetization: 0.00 μB/cell

```
data_TcNiHgGe
_cell_length_a 6.2646
_cell_length_b 6.2646
_cell_length_c 6.2646
_cell_angle_alpha 90.00
_cell_angle_beta 90.00
_cell_angle_gamma 90.00
_space_group_name_H-M_alt 'F -4 3 m'
_space_group_IT_number 216
_space_group_name_Hall 'F -4 2 3'
loop_
_atom_site_label
_atom_site_fract_x
_atom_site_fract_y
_atom_site_fract_z
Tc1 0.0000 0.0000 0.0000
Ni1 0.0000 0.0000 0.5000
Hg1 0.2500 0.2500 0.7500
Ge1 0.2500 0.2500 0.2500
```

Below is TaCdB4 after structural relaxation, with properties calculated at the PBE-GGA level.

## Properties
calculated total energy: -6.69 eV/atom
total magnetization: 0.00 μB/cell

```
data_TaCdB4
_cell_length_a 3.0626
_cell_length_b 3.0626
_cell_length_c 7.8612
_cell_angle_alpha 90.00
_cell_angle_beta 90.00
_cell_angle_gamma 120.00
_space_group_name_H-M_alt 'P 6/m m m'
_space_group_IT_number 191
_space_group_name_Hall '-P 6 2'
loop_
_atom_site_label
_atom_site_fract_x
_atom_site_fract_y
_atom_site_fract_z
Ta1 0.0000 0.0000 0.0000
Cd1 0.0000 0.0000 0.5000
B1 0.3333 0.6667 0.2116
```

Below is Cs2AgAuBr6 after structural relaxation, with properties calculated at the PBE-GGA level.

## Properties
calculated total energy: -2.66 eV/atom

```
data_Cs2AgAuBr6
_cell_length_a 10.9225
_cell_length_b 10.9225
_cell_length_c 10.9225
_cell_angle_alpha 90.00
_cell_angle_beta 90.00
_cell_angle_gamma 90.00
_space_group_name_H-M_alt 'F m -3 m'
_space_group_IT_number 225
_space_group_name_Hall '-F 4 2 3'
loop_
_atom_site_label
_atom_site_fract_x
_atom_site_fract_y
_atom_site_fract_z
Cs1 0.2500 0.2500 0.2500
Ag1 0.0000 0.0000 0.0000
Au1 0.0000 0.0000 0.5000
Br1 0.0000 0.0000 0.2524
```

Below is SrIr3S after structural relaxation, with properties calculated at the PBE-GGA level.

## Properties
calculated total energy: -6.21 eV/atom
total magnetization: 0.03 μB/cell

```
data_SrIr3S
_cell_length_a 4.5424
_cell_length_b 4.5424
_cell_length_c 4.5424
_cell_angle_alpha 90.00
_cell_angle_beta 90.00
_cell_angle_gamma 90.00
_space_group_name_H-M_alt 'P m -3 m'
_space_group_IT_number 221
_space_group_name_Hall '-P 4 2 3'
loop_
_atom_site_label
_atom_site_fract_x
_atom_site_fract_y
_atom_site_fract_z
Sr1 0.0000 0.0000 0.0000
Ir1 0.0000 0.5000 0.5000
S1 0.5000 0.5000 0.5000
```

Below is LaSi2Tc4 after structural relaxation, with properties calculated at the PBE-GGA level.

## Properties
calculated total energy: -8.68 eV/atom
total magnetization: 0.05 μB/cell

```
data_LaSi2Tc4
_cell_length_a 4.1721
_cell_length_b 13.9580
_cell_length_c 4.1562
_cell_angle_alpha 90.00
_cell_angle_beta 90.00
_cell_angle_gamma 90.00
_space_group_name_H-M_alt 'C m m m'
_space_group_IT_number 65
_space_group_name_Hall '-C 2 2'
loop_
_atom_site_label
_atom_site_fract_x
_atom_site_fract_y
_atom_site_fract_z
La1 0.0000 0.0000 0.0000
Si1 0.0000 0.4088 0.5000
Tc1 0.0000 0.1924 0.5000
Tc2 0.0000 0.3030 0.0000
```

Below is CoGeAu after structural relaxation, with properties calculated at the PBE-GGA level.

## Properties
calculated total energy: -4.85 eV/atom
total magnetization: 1.89 μB/cell

```
data_CoGeAu
_cell_length_a 5.8125
_cell_length_b 5.8125
_cell_length_c 5.8125
_cell_angle_alpha 90.00
_cell_angle_beta 90.00
_cell_angle_gamma 90.00
_space_group_name_H-M_alt 'F -4 3 m'
_space_group_IT_number 216
_space_group_name_Hall 'F -4 2 3'
loop_
_atom_site_label
_atom_site_fract_x
_atom_site_fract_y
_atom_site_fract_z
Co1 0.0000 0.0000 0.0000
Ge1 0.2500 0.2500 0.2500
Au1 0.2500 0.2500 0.7500
```

Below is ZrTaAl after structural relaxation, with properties calculated at the PBE-GGA level.

## Properties
calculated total energy: -7.70 eV/atom
total magnetization: 0.02 μB/cell

```
data_ZrTaAl
_cell_length_a 6.3569
_cell_length_b 6.3569
_cell_length_c 6.3569
_cell_angle_alpha 90.00
_cell_angle_beta 90.00
_cell_angle_gamma 90.00
_space_group_name_H-M_alt 'F -4 3 m'
_space_group_IT_number 216
_space_group_name_Hall 'F -4 2 3'
loop_
_atom_site_label
_atom_site_fract_x
_atom_site_fract_y
_atom_site_fract_z
Zr1 0.0000 0.0000 0.0000
Ta1 0.0000 0.0000 0.5000
Al1 0.2500 0.2500 0.7500
```

Below is GdErIr2 after structural relaxation, with properties calculated at the PBE-GGA level.

## Properties
calculated total energy: -7.48 eV/atom
calculated formation energy: -0.74 eV per atom
total magnetization: 0.03 μB/cell

```
data_GdErIr2
_cell_length_a 4.2630
_cell_length_b 5.5856
_cell_length_c 7.2617
_cell_angle_alpha 90.00
_cell_angle_beta 90.00
_cell_angle_gamma 90.00
_space_group_name_H-M_alt 'P m c 21'
_space_group_IT_number 26
loop_
_space_group_symop_operation_xyz
'x,y,z'
'-x,-y,z+1/2'
'-x,y,z'
'x,-y,z+1/2'
loop_
_atom_site_label
_atom_site_fract_x
_atom_site_fract_y
_atom_site_fract_z
Gd1 0.0000 0.1298 0.0000
Er1 0.5000 0.3685 0.6466
Ir1 0.0000 0.3882 0.3628
Ir2 0.5000 0.1210 0.2860
```

Below is HfCdFeAs after structural relaxation, with properties calculated at the PBE-GGA level.

## Properties
calculated total energy: -5.65 eV/atom
total magnetization: 1.98 μB/cell

```
data_HfCdFeAs
_cell_length_a 6.5038
_cell_length_b 6.5038
_cell_length_c 6.5038
_cell_angle_alpha 90.00
_cell_angle_beta 90.00
_cell_angle_gamma 90.00
_space_group_name_H-M_alt 'F -4 3 m'
_space_group_IT_number 216
_space_group_name_Hall 'F -4 2 3'
loop_
_atom_site_label
_atom_site_fract_x
_atom_site_fract_y
_atom_site_fract_z
Hf1 0.0000 0.0000 0.0000
Cd1 0.2500 0.2500 0.2500
Fe1 0.2500 0.2500 0.7500
As1 0.0000 0.0000 0.5000
```

Below is HoNi2Ge after structural relaxation, with properties calculated at the PBE-GGA level.

## Properties
calculated total energy: -5.64 eV/atom
total magnetization: 0.00 μB/cell

```
data_HoNi2Ge
_cell_length_a 4.0457
_cell_length_b 5.8598
_cell_length_c 5.4263
_cell_angle_alpha 90.00
_cell_angle_beta 90.00
_cell_angle_gamma 90.00
_space_group_name_H-M_alt 'P m n 21'
_space_group_IT_number 31
loop_
_space_group_symop_operation_xyz
'x,y,z'
'-x+1/2,-y,z+1/2'
'-x,y,z'
'x+1/2,-y,z+1/2'
loop_
_atom_site_label
_atom_site_fract_x
_atom_site_fract_y
_atom_site_fract_z
Ho1 0.0000 0.0922 0.0000
Ni1 0.0000 0.2805 0.5060
Ni2 0.0000 0.6431 0.2618
Ge1 0.0000 0.6133 0.7806
```

Below is Ba2DyOsS6 after structural relaxation, with properties calculated at the PBE-GGA level.

## Properties
calculated total energy: -5.72 eV/atom
total magnetization: 4.75 μB/cell

```
data_Ba2DyOsS6
_cell_length_a 6.9578
_cell_length_b 6.9578
_cell_length_c 10.1030
_cell_angle_alpha 90.00
_cell_angle_beta 90.00
_cell_angle_gamma 90.00
_space_group_name_H-M_alt 'I 4/m'
_space_group_IT_number 87
_space_group_name_Hall '-I 4'
loop_
_atom_site_label
_atom_site_fract_x
_atom_site_fract_y
_atom_site_fract_z
Ba1 0.0000 0.5000 0.2500
Dy1 0.0000 0.0000 0.0000
Os1 0.0000 0.0000 0.5000
S1 0.0000 0.0000 0.2643
S2 0.1901 0.2812 0.5000
```

Below is TmLuU after structural relaxation, with properties calculated at the PBE-GGA level.

## Properties
calculated total energy: -5.51 eV/atom
calculated formation energy: 1.26 eV per atom
total magnetization: 14.90 μB/cell

```
data_TmLuU
_cell_length_a 7.3572
_cell_length_b 7.3572
_cell_length_c 7.3572
_cell_angle_alpha 90.00
_cell_angle_beta 90.00
_cell_angle_gamma 90.00
_space_group_name_H-M_alt 'F -4 3 m'
_space_group_IT_number 216
_space_group_name_Hall 'F -4 2 3'
loop_
_atom_site_label
_atom_site_fract_x
_atom_site_fract_y
_atom_site_fract_z
Tm1 0.0000 0.0000 0.0000
Lu1 0.2500 0.2500 0.2500
U1 0.0000 0.0000 0.5000
```

Q: Which formula does entry 12 have?
A: TmLuU